Entry from the Alexandria database: a relaxed structure of Sr3HgBi (PBE).

Computed properties:
Its energy of formation from the pure elements is -0.27 eV/atom. As for the total energy: -2.12 eV/atom. The energy above the most stable polymorph in this dataset comes out at 0.237 eV/atom.

a = 6.398 Å, b = 6.398 Å, c = 6.398 Å
α = 90.00°, β = 90.00°, γ = 90.00°
Fractional coordinates of all 5 atoms:
Sr 0.000 0.500 0.000
Sr 0.000 0.000 0.500
Sr 0.500 0.000 0.000
Bi 0.000 0.000 0.000
Hg 0.500 0.500 0.500

---

Entry from the Alexandria database: a relaxed structure of Li2SmGa4 (PBE).

Computed properties:
Its energy of formation from the pure elements is -0.37 eV/atom. As for the total energy: -3.32 eV/atom.

a = 4.393 Å, b = 3.472 Å, c = 9.531 Å
α = 100.49°, β = 103.33°, γ = 90.00°
Fractional coordinates of all 7 atoms:
Li 0.802 0.802 0.603
Li 0.198 0.198 0.397
Sm 0.500 0.000 0.000
Ga 0.652 0.652 0.304
Ga 0.348 0.348 0.696
Ga 0.075 0.575 0.149
Ga 0.925 0.425 0.851

---

Entry from the Alexandria database: a relaxed structure of Li5Cd3Br12 (PBE).

Computed properties:
As for the total energy: -2.58 eV/atom.

a = 13.978 Å, b = 13.978 Å, c = 13.978 Å
α = 109.47°, β = 109.47°, γ = 109.47°
Fractional coordinates of all 80 atoms:
Cd 0.750 0.375 0.125
Cd 0.875 0.750 0.125
Cd 0.375 0.750 0.625
Cd 0.250 0.125 0.375
Cd 0.875 0.125 0.250
Cd 0.375 0.625 0.250
Cd 0.625 0.375 0.750
Cd 0.125 0.875 0.750
Cd 0.750 0.875 0.625
Cd 0.625 0.250 0.375
Cd 0.125 0.250 0.875
Cd 0.250 0.625 0.875
Li 0.125 0.375 0.250
Li 0.000 0.500 0.000
Li 0.000 0.000 0.000
Li 0.375 0.250 0.125
Li 0.500 0.000 0.500
Li 0.500 0.500 0.000
Li 0.125 0.750 0.375
Li 0.750 0.125 0.875
Li 0.750 0.625 0.375
Li 0.375 0.125 0.750
Li 0.625 0.875 0.250
Li 0.500 0.500 0.500
Li 0.500 0.000 0.000
Li 0.000 0.000 0.500
Li 0.250 0.375 0.625
Li 0.250 0.875 0.125
Li 0.000 0.500 0.500
Li 0.875 0.250 0.625
Li 0.625 0.750 0.875
Li 0.875 0.625 0.750
Br 0.718 0.127 0.038
Br 0.320 0.538 0.411
Br 0.962 0.373 0.282
Br 0.538 0.218 0.127
Br 0.591 0.718 0.680
Br 0.962 0.589 0.180
Br 0.320 0.782 0.409
Br 0.089 0.909 0.127
Br 0.589 0.962 0.680
Br 0.718 0.591 0.180
Br 0.782 0.462 0.373
Br 0.820 0.911 0.038
Br 0.127 0.718 0.538
Br 0.373 0.411 0.091
Br 0.091 0.911 0.373
Br 0.409 0.127 0.589
Br 0.091 0.180 0.218
Br 0.462 0.680 0.089
Br 0.820 0.909 0.282
Br 0.127 0.409 0.089
Br 0.373 0.962 0.782
Br 0.589 0.627 0.409
Br 0.911 0.820 0.538
Br 0.782 0.320 0.909
Br 0.411 0.373 0.591
Br 0.089 0.180 0.462
Br 0.218 0.680 0.091
Br 0.180 0.091 0.718
Br 0.627 0.038 0.218
Br 0.873 0.591 0.911
Br 0.538 0.320 0.911
Br 0.591 0.873 0.411
Br 0.909 0.820 0.782
Br 0.909 0.089 0.627
Br 0.873 0.282 0.462
Br 0.180 0.089 0.962
Br 0.627 0.589 0.909
Br 0.411 0.038 0.320
Br 0.282 0.409 0.820
Br 0.218 0.538 0.627
Br 0.911 0.091 0.873
Br 0.680 0.218 0.591
Br 0.462 0.782 0.873
Br 0.038 0.411 0.820
Br 0.409 0.282 0.320
Br 0.038 0.627 0.718
Br 0.680 0.462 0.589
Br 0.282 0.873 0.962

---

Entry from the Alexandria database: a relaxed structure of KZr2ScCd (PBE).

Computed properties:
Its energy of formation from the pure elements is 1.20 eV/atom. As for the total energy: -3.89 eV/atom.

a = 5.432 Å, b = 5.707 Å, c = 5.432 Å
α = 90.00°, β = 90.00°, γ = 90.00°
Fractional coordinates of all 5 atoms:
Sc 0.500 0.500 0.500
K 0.000 0.500 0.000
Zr 0.000 0.000 0.500
Zr 0.500 0.000 0.000
Cd 0.000 0.000 0.000

---

Q: Number 3 is which compound?
A: Li5Cd3Br12

---

Q: What is the formula in the fourth record?
A: KZr2ScCd